VASP calculation (GGA-PBE) on a geometry-optimized Zr3HgN structure.

Summary:
Total magnetization ... 0.01 μB per formula unit
Formation energy without anion corrections ... -0.748 eV/atom

a b c (Å): 12.005 3.256 10.030
angles (deg): 90.00 107.20 90.00
Space group Cm (No. 8)
Asymmetric unit:
Zr (0.000, 0.000, 0.000) (multiplicity 2)
Zr (0.047, 0.500, 0.729) (multiplicity 2)
Zr (0.140, 0.000, 0.462) (multiplicity 2)
Zr (0.255, 0.000, 0.955) (multiplicity 2)
Zr (0.305, 0.500, 0.724) (multiplicity 2)
Zr (0.438, 0.000, 0.258) (multiplicity 2)
Hg (0.192, 0.500, 0.208) (multiplicity 2)
Hg (0.384, 0.500, 0.481) (multiplicity 2)
N (0.169, 0.000, 0.702) (multiplicity 2)
N (0.415, 0.000, 0.856) (multiplicity 2)